[1]
# TiAl3 (PBE, relaxed)
data_TiAl3
_space_group_name_H-M_alt 'I m m 2'
_space_group_IT_number 44
_space_group_name_Hall 'I 2 -2'
_cell_length_a 2.880
_cell_length_b 9.241
_cell_length_c 4.863
_cell_angle_alpha 90.00
_cell_angle_beta 90.00
_cell_angle_gamma 90.00
loop_
_atom_site_label
_atom_site_type_symbol
_atom_site_fract_x
_atom_site_fract_y
_atom_site_fract_z
Ti1 Ti 0.000 0.000 0.000
Al1 Al 0.000 0.253 0.670
Al2 Al 0.000 0.500 0.007
# total DFT energy (no corrections) = -5.08 eV per atom
# crystal system = orthorhombic

=====

[2]
# PuGe6 (PBE, relaxed)
data_PuGe6
_space_group_name_H-M_alt 'I m -3 m'
_space_group_IT_number 229
_space_group_name_Hall '-I 4 2 3'
_cell_length_a 7.073
_cell_length_b 7.073
_cell_length_c 7.073
_cell_angle_alpha 90.00
_cell_angle_beta 90.00
_cell_angle_gamma 90.00
loop_
_atom_site_label
_atom_site_type_symbol
_atom_site_fract_x
_atom_site_fract_y
_atom_site_fract_z
Pu1 Pu 0.000 0.000 0.000
Ge1 Ge 0.000 0.250 0.500
# total DFT energy (no corrections) = -5.74 eV per atom
# crystal system = cubic

=====

[3]
# LaCd3Sb (PBE, relaxed)
data_LaCd3Sb
_space_group_name_H-M_alt 'P m -3 m'
_space_group_IT_number 221
_space_group_name_Hall '-P 4 2 3'
_cell_length_a 5.482
_cell_length_b 5.482
_cell_length_c 5.482
_cell_angle_alpha 90.00
_cell_angle_beta 90.00
_cell_angle_gamma 90.00
loop_
_atom_site_label
_atom_site_type_symbol
_atom_site_fract_x
_atom_site_fract_y
_atom_site_fract_z
La1 La 0.000 0.000 0.000
Cd1 Cd 0.000 0.500 0.500
Sb1 Sb 0.500 0.500 0.500
# E above lowest polymorph = 0.000 eV/atom
# raw formation energy = 0.27 eV/atom
# total DFT energy (no corrections) = -2.09 eV per atom
# crystal system = cubic

=====

[4]
# BiOs2PtAu (PBE, relaxed)
data_BiOs2PtAu
_space_group_name_H-M_alt 'P 4/m m m'
_space_group_IT_number 123
_space_group_name_Hall '-P 4 2'
_cell_length_a 4.777
_cell_length_b 4.777
_cell_length_c 5.398
_cell_angle_alpha 90.00
_cell_angle_beta 90.00
_cell_angle_gamma 90.00
loop_
_atom_site_label
_atom_site_type_symbol
_atom_site_fract_x
_atom_site_fract_y
_atom_site_fract_z
Bi1 Bi 0.000 0.000 0.000
Os1 Os 0.000 0.500 0.500
Pt1 Pt 0.000 0.000 0.500
Au1 Au 0.500 0.500 0.000
# total DFT energy (no corrections) = -5.15 eV per atom
# crystal system = tetragonal

=====

[5]
# Ca4Dy3AgS8 (PBE, relaxed)
data_Ca4Dy3AgS8
_space_group_name_H-M_alt 'R -3 m'
_space_group_IT_number 166
_space_group_name_Hall '-R 3 2"'
_cell_length_a 7.9324
_cell_length_b 7.9324
_cell_length_c 19.5233
_cell_angle_alpha 90.00
_cell_angle_beta 90.00
_cell_angle_gamma 120.00
loop_
_atom_site_label
_atom_site_type_symbol
_atom_site_fract_x
_atom_site_fract_y
_atom_site_fract_z
Ca1 Ca 0.0000 0.0000 0.0000
Ca2 Ca 0.0000 0.5000 0.0000
Dy1 Dy 0.0000 0.5000 0.5000
Ag1 Ag 0.0000 0.0000 0.5000
S1 S 0.0000 0.0000 0.2478
S2 S 0.0057 0.5029 0.7518
# raw formation energy = -1.88 eV/atom
# total DFT energy (no corrections) = -5.49 eV per atom
# crystal system = trigonal

=====

[6]
# Ta3TlAs (PBE, relaxed)
data_Ta3TlAs
_space_group_name_H-M_alt 'P m -3 m'
_space_group_IT_number 221
_space_group_name_Hall '-P 4 2 3'
_cell_length_a 4.784
_cell_length_b 4.784
_cell_length_c 4.784
_cell_angle_alpha 90.00
_cell_angle_beta 90.00
_cell_angle_gamma 90.00
loop_
_atom_site_label
_atom_site_type_symbol
_atom_site_fract_x
_atom_site_fract_y
_atom_site_fract_z
Ta1 Ta 0.000 0.000 0.500
Tl1 Tl 0.500 0.500 0.500
As1 As 0.000 0.000 0.000
# E above lowest polymorph = 0.000 eV/atom
# total DFT energy (no corrections) = -7.55 eV per atom
# crystal system = cubic

=====

[7]
# Ni2IrRh3 (PBE, relaxed)
data_Ni2IrRh3
_space_group_name_H-M_alt 'P 4/m m m'
_space_group_IT_number 123
_space_group_name_Hall '-P 4 2'
_cell_length_a 2.702
_cell_length_b 2.702
_cell_length_c 10.928
_cell_angle_alpha 90.00
_cell_angle_beta 90.00
_cell_angle_gamma 90.00
loop_
_atom_site_label
_atom_site_type_symbol
_atom_site_fract_x
_atom_site_fract_y
_atom_site_fract_z
Ni1 Ni 0.000 0.000 0.161
Ir1 Ir 0.000 0.000 0.500
Rh1 Rh 0.500 0.500 0.000
Rh2 Rh 0.500 0.500 0.325
# E above lowest polymorph = 0.000 eV/atom
# total DFT energy (no corrections) = -7.04 eV per atom
# crystal system = tetragonal

=====

[8]
# Nd3SmTh2Se6 (PBE, relaxed)
data_Nd3SmTh2Se6
_space_group_name_H-M_alt 'C 1 2/m 1'
_space_group_IT_number 12
_space_group_name_Hall '-C 2y'
_cell_length_a 7.292
_cell_length_b 12.596
_cell_length_c 7.316
_cell_angle_alpha 90.00
_cell_angle_beta 109.39
_cell_angle_gamma 90.00
loop_
_atom_site_label
_atom_site_type_symbol
_atom_site_fract_x
_atom_site_fract_y
_atom_site_fract_z
Nd1 Nd 0.000 0.000 0.000
Nd2 Nd 0.000 0.335 0.000
Sm1 Sm 0.000 0.500 0.500
Th1 Th 0.000 0.167 0.500
Se1 Se 0.249 0.334 0.749
Se2 Se 0.250 0.000 0.747
# raw formation energy = -1.72 eV/atom
# total DFT energy (no corrections) = -6.29 eV per atom
# crystal system = monoclinic

=====

Q: Look up the total DFT energy (no corrections) of the eighth one.
A: -6.29 eV per atom

=====

Q: Look up the total DFT energy (no corrections) of the third one.
A: -2.09 eV per atom

=====

Q: What is the total DFT energy (no corrections) in the fifth record?
A: -5.49 eV per atom

=====

Q: total DFT energy (no corrections) of number 7 (Ni2IrRh3)?
A: -7.04 eV per atom